1.
## PmGaAu5 (PBE)

Data for a relaxed PmGaAu5 crystal.

Cell and atoms, written as POSCAR:
```
PmGaAu5
1.0
4.4946 0.0000 0.0000
0.0000 4.4946 0.0000
0.0000 0.0000 7.2342
Pm Ga Au
1 1 5
direct
0.0000 0.0000 0.0000
0.0000 0.0000 0.5000
0.0000 0.5000 0.2943
0.0000 0.5000 0.7057
0.5000 0.0000 0.2943
0.5000 0.0000 0.7057
0.5000 0.5000 0.0000
```

Calculated formation energy ... -341 meV/atom
Total moment ... 0.0 μB/f.u.
Crystal system ... tetragonal
D(E_F) ... 4.13 states/eV/f.u.
Distance to the lowest polymorph of the same formula ... 80.7 meV per atom
DFT total energy ... -26.55 eV for the cell shown


2.
## PmGa2Au2 (PBE)

Data for a relaxed PmGa2Au2 crystal.

Cell and atoms, written as POSCAR:
```
PmGa2Au2
1.0
4.4235 0.0000 0.0000
0.0000 4.4235 0.0000
0.0000 0.0000 10.5519
Pm Ga Au
2 4 4
direct
0.2500 0.2500 0.2482
0.7500 0.7500 0.7518
0.2500 0.2500 0.8672
0.2500 0.7500 0.5000
0.7500 0.2500 0.5000
0.7500 0.7500 0.1328
0.2500 0.2500 0.6313
0.2500 0.7500 0.0000
0.7500 0.2500 0.0000
0.7500 0.7500 0.3687
```

Calculated formation energy ... -644 meV/atom
Total moment ... 0.0 μB/f.u.
Crystal system ... tetragonal
D(E_F) ... 2.23 states/eV/f.u.
DFT total energy ... -41.16 eV for the cell shown


3.
## PmGa2Au (PBE)

Data for a relaxed PmGa2Au crystal.

Cell and atoms, written as POSCAR:
```
PmGa2Au
1.0
2.1896 1.2642 5.1295
-2.1896 1.2642 5.1295
0.0000 -2.5283 5.1295
Pm Ga Au
1 2 1
direct
0.0000 0.0000 0.0000
0.2202 0.2202 0.2202
0.7798 0.7798 0.7798
0.5000 0.5000 0.5000
```

Calculated formation energy ... -610 meV/atom
Total moment ... 0.0 μB/f.u.
Crystal system ... trigonal
D(E_F) ... 1.99 states/eV/f.u.
Distance to the lowest polymorph of the same formula ... 64.2 meV per atom
DFT total energy ... -16.52 eV for the cell shown


4.
## PmGaAu2 (PBE)

Data for a relaxed PmGaAu2 crystal.

Cell and atoms, written as POSCAR:
```
PmGaAu2
1.0
3.6926 0.0000 0.0000
0.0000 3.6926 0.0000
0.0000 0.0000 6.4250
Pm Ga Au
1 1 2
direct
0.0000 0.0000 0.0000
0.0000 0.0000 0.5000
0.5000 0.5000 0.2671
0.5000 0.5000 0.7329
```

Calculated formation energy ... -515 meV/atom
Total moment ... 0.0 μB/f.u.
Crystal system ... tetragonal
D(E_F) ... 2.70 states/eV/f.u.
DFT total energy ... -16.39 eV for the cell shown


5.
## Pm4Ga5Au3 (PBE)

Data for a relaxed Pm4Ga5Au3 crystal.

Cell and atoms, written as POSCAR:
```
Pm4Ga5Au3
1.0
7.5602 -2.2828 0.0000
7.5602 2.2828 0.0000
-5.9075 0.0000 8.5184
Pm Ga Au
4 5 3
direct
0.0149 0.0149 0.3101
0.2668 0.2668 0.7746
0.7332 0.7332 0.2254
0.9851 0.9851 0.6899
0.2878 0.2878 0.4963
0.4045 0.4045 0.4012
0.5000 0.5000 0.0000
0.5955 0.5955 0.5988
0.7122 0.7122 0.5037
0.0000 0.0000 0.0000
0.3115 0.3115 0.1000
0.6885 0.6885 0.9000
```

Calculated formation energy ... -522 meV/atom
Total moment ... 0.0 μB/f.u.
Crystal system ... monoclinic
D(E_F) ... 6.13 states/eV/f.u.
DFT total energy ... -50.23 eV for the cell shown


6.
## Pm5GaAu2 (PBE)

Data for a relaxed Pm5GaAu2 crystal.

Cell and atoms, written as POSCAR:
```
Pm5GaAu2
1.0
6.8829 0.0000 0.0000
0.0000 12.9812 0.0000
0.0000 0.0000 4.9915
Pm Ga Au
10 2 4
direct
0.0000 0.0000 0.0000
0.1542 0.3947 0.5000
0.1765 0.7139 0.0000
0.3235 0.2139 0.0000
0.3458 0.8947 0.5000
0.5000 0.5000 0.0000
0.6542 0.1053 0.5000
0.6765 0.7861 0.0000
0.8235 0.2861 0.0000
0.8458 0.6053 0.5000
0.0000 0.5000 0.0000
0.5000 0.0000 0.0000
0.0768 0.1544 0.5000
0.4232 0.6544 0.5000
0.5768 0.3456 0.5000
0.9232 0.8456 0.5000
```

Calculated formation energy ... -505 meV/atom
Total moment ... 0.0 μB/f.u.
Crystal system ... orthorhombic
D(E_F) ... 7.59 states/eV/f.u.
DFT total energy ... -74.75 eV for the cell shown


Q: Number 5 is which compound?
A: Pm4Ga5Au3